Record 1
Computed, not measured: NbCr4Au after structural relaxation at the PBE-GGA level of DFT.

**V**: 82.3 Å³/cell
**Total DFT energy (no corrections)**: -51.14 eV/cell
**Theoretical density**: 10.0 g cm⁻³
**Space group**: F-43m, No. 216

Geometry as extended XYZ:
```
6
Lattice="4.882 0.000 0.000 2.441 4.228 0.000 2.441 1.409 3.986" Properties=species:S:1:pos:R:3 pbc="T T T"
Cr 4.882 2.819 0.486
Cr 4.882 1.397 2.495
Cr 6.113 3.529 2.495
Cr 3.651 3.529 2.495
Nb 0.000 0.000 0.000
Au 2.441 1.409 0.997
```

Record 2
Computed, not measured: AlSi2Te after structural relaxation at the PBE-GGA level of DFT.

**E_form (uncorrected)**: 0.5631 eV/atom
**V**: 77.3 Å³/cell
**E above lowest polymorph**: 429 meV/atom
**Theoretical density**: 4.5 g cm⁻³
**Space group**: Fm-3m, No. 225

Geometry as extended XYZ:
```
4
Lattice="0.000 3.382 3.382 3.382 0.000 3.382 3.382 3.382 0.000" Properties=species:S:1:pos:R:3 pbc="T T T"
Si 1.691 1.691 1.691
Si 5.073 5.073 5.073
Te 3.382 3.382 3.382
Al 0.000 0.000 0.000
```

Record 3
Computed, not measured: Cs4KAs after structural relaxation at the PBE-GGA level of DFT.

**V**: 910.2 Å³/cell
**Total DFT energy (no corrections)**: -20.30 eV/cell
**Theoretical density**: 2.4 g cm⁻³
**Space group**: C2/m, No. 12

Geometry as extended XYZ:
```
12
Lattice="-7.427 2.470 -2.165 1.000 -4.770 -8.873 -2.121 -7.687 9.669" Properties=species:S:1:pos:R:3 pbc="T T T"
Cs -6.851 -4.688 1.748
Cs -4.639 -1.815 -2.559
Cs 0.266 -1.268 -2.358
Cs -4.387 -5.890 5.435
Cs -1.696 -5.299 -3.118
Cs -3.909 -8.172 1.190
Cs 0.734 -3.502 -6.515
Cs -4.160 -4.097 -6.804
K -1.931 -3.494 1.661
K -6.617 -6.493 -3.030
As -6.419 -8.281 3.728
As -2.128 -1.707 -5.097
```

Record 4
Computed, not measured: GaCoBr2 after structural relaxation at the PBE-GGA level of DFT.

**E_form (uncorrected)**: -0.0559 eV/atom
**V**: 103.2 Å³/cell
**E above lowest polymorph**: 49 meV/atom
**Theoretical density**: 4.6 g cm⁻³
**Space group**: R-3m, No. 166

Geometry as extended XYZ:
```
4
Lattice="2.092 0.000 9.079 -1.046 1.811 9.079 -1.046 -1.811 9.079" Properties=species:S:1:pos:R:3 pbc="T T T"
Co 0.000 0.000 13.619
Ga 0.000 0.000 0.000
Br 0.000 0.000 24.185
Br 0.000 0.000 3.053
```

Record 5
Computed, not measured: La8GePd2 after structural relaxation at the PBE-GGA level of DFT.

**V**: 352.3 Å³/cell
**Total DFT energy (no corrections)**: -58.33 eV/cell
**Theoretical density**: 6.6 g cm⁻³
**Space group**: Cm, No. 8

Geometry as extended XYZ:
```
11
Lattice="-0.877 -5.198 3.884 6.546 -2.158 -4.424 0.875 6.120 5.373" Properties=species:S:1:pos:R:3 pbc="T T T"
Ge -0.111 -1.053 0.825
Pd 4.411 -2.125 0.383
Pd 2.170 1.146 4.254
La 1.995 -3.305 1.301
La 0.499 -1.122 3.884
La 2.520 0.531 1.010
La 1.133 -0.588 7.249
La 4.577 -5.616 1.299
La 4.124 -1.545 3.693
La 6.122 0.145 0.822
La 4.653 2.289 3.359
```

Record 6
Computed, not measured: SnHgPtPb2 after structural relaxation at the PBE-GGA level of DFT.

**V**: 156.9 Å³/cell
**Total DFT energy (no corrections)**: -17.34 eV/cell
**Theoretical density**: 9.8 g cm⁻³
**Space group**: P4/mmm, No. 123

Geometry as extended XYZ:
```
5
Lattice="-0.776 2.962 4.588 0.206 -4.312 2.819 5.457 0.607 0.531" Properties=species:S:1:pos:R:3 pbc="T T T"
Pb 2.728 0.303 0.265
Pb -0.388 1.481 2.294
Hg 2.443 -0.371 3.969
Pt 0.000 0.000 0.000
Sn 0.103 -2.156 1.409
```